{
  "formula": "La3Sm6Er2Mg",
  "functional": "GGA-PBE",
  "state": "relaxed",
  "ef_mev_per_atom": 36,
  "final_energy_ev_per_cell": -53.39,
  "crystal_system": "monoclinic",
  "lattice_angstrom": [[-5.444, 2.718, -1.530], [0.033, -5.642, 2.745], [1.413, 6.096, 10.108]],
  "species": ["La", "La", "La", "Sm", "Sm", "Sm", "Sm", "Sm", "Sm", "Er", "Er", "Mg"],
  "frac_coords": [[0.167, 0.833, 0.500], [0.833, 0.167, 0.500], [0.500, 0.500, 0.500], [0.920, 0.589, 0.758], [0.748, 0.748, 0.243], [0.080, 0.411, 0.242], [0.589, 0.920, 0.758], [0.252, 0.252, 0.757], [0.411, 0.080, 0.242], [0.334, 0.666, 0.000], [0.666, 0.334, 0.000], [0.000, 0.000, 0.000]]
}

=====

{
  "formula": "Fe2PdRuN",
  "functional": "GGA-PBE",
  "state": "relaxed",
  "final_energy_ev_per_cell": -39.54,
  "formation_energy_uncorrected_mev_per_atom": 35,
  "crystal_system": "tetragonal",
  "lattice_angstrom": [[3.919, 0.000, 0.000], [0.000, 3.919, 0.000], [0.000, 0.000, 3.955]],
  "species": ["Ru", "Fe", "Fe", "Pd", "N"],
  "frac_coords": [[0.000, 0.000, 0.500], [0.000, 0.500, 0.000], [0.500, 0.000, 0.000], [0.500, 0.500, 0.500], [0.000, 0.000, 0.000]]
}

=====

{
  "formula": "Fe4ReRh5",
  "functional": "GGA-PBE",
  "state": "relaxed",
  "ef_mev_per_atom": -34,
  "final_energy_ev_per_cell": -83.40,
  "crystal_system": "tetragonal",
  "lattice_angstrom": [[-1.886, -1.931, 0.252], [1.321, -1.526, -1.810], [9.671, -7.680, 13.532]],
  "species": ["Fe", "Fe", "Fe", "Fe", "Re", "Rh", "Rh", "Rh", "Rh", "Rh"],
  "frac_coords": [[0.000, 0.000, 0.206], [0.000, 0.000, 0.402], [0.000, 0.000, 0.598], [0.000, 0.000, 0.794], [0.000, 0.000, 0.000], [0.500, 0.500, 0.104], [0.500, 0.500, 0.305], [0.500, 0.500, 0.500], [0.500, 0.500, 0.695], [0.500, 0.500, 0.896]]
}

=====

{
  "formula": "Ac3TlIn3",
  "functional": "GGA-PBE",
  "state": "relaxed",
  "ef_mev_per_atom": -417,
  "final_energy_ev_per_cell": -51.65,
  "crystal_system": "monoclinic",
  "lattice_angstrom": [[-2.893, 3.975, 1.060], [-6.092, -1.813, 2.106], [3.032, 1.326, 15.235]],
  "species": ["Ac", "Ac", "Ac", "Ac", "Ac", "Ac", "Tl", "Tl", "In", "In", "In", "In", "In", "In"],
  "frac_coords": [[0.520, 0.339, 0.622], [0.480, 0.661, 0.378], [0.267, 0.240, 0.225], [0.733, 0.760, 0.775], [0.390, 0.293, 0.928], [0.610, 0.707, 0.072], [0.773, 0.068, 0.387], [0.227, 0.932, 0.613], [0.866, 0.725, 0.544], [0.134, 0.275, 0.456], [0.107, 0.863, 0.923], [0.893, 0.137, 0.077], [0.990, 0.796, 0.223], [0.010, 0.204, 0.777]]
}

=====

{
  "formula": "MgCoRu2",
  "functional": "GGA-PBE",
  "state": "relaxed",
  "ef_mev_per_atom": 165,
  "final_energy_ev_per_cell": -26.59,
  "crystal_system": "orthorhombic",
  "lattice_angstrom": [[3.730, 0.000, 0.000], [0.000, 2.749, 0.019], [0.000, 2.714, 5.495]],
  "species": ["Co", "Mg", "Ru", "Ru"],
  "frac_coords": [[0.000, 0.511, 0.489], [0.500, 0.761, 0.739], [0.000, 0.975, 0.025], [0.500, 0.253, 0.247]]
}

=====

{
  "formula": "Ho2VIn",
  "functional": "GGA-PBE",
  "state": "relaxed",
  "ef_mev_per_atom": -57,
  "final_energy_ev_per_cell": -21.24,
  "crystal_system": "cubic",
  "de_polymorph_mev_per_atom": 17.3,
  "lattice_angstrom": [[-4.284, -2.713, 1.054], [-0.384, -2.604, 4.460], [-3.259, 1.632, 3.680]],
  "species": ["V", "Ho", "Ho", "In"],
  "frac_coords": [[0.500, 0.500, 0.500], [0.250, 0.250, 0.250], [0.750, 0.750, 0.750], [0.000, 0.000, 0.000]]
}